1.
# La12Zn6In | Alexandria via LeMat-Bulk | PBE | relaxed
data_La12Zn6In
_chemical_formula_sum 'La12 Zn6 In1'
_cell_length_a 9.0786
_cell_length_b 9.0786
_cell_length_c 9.0786
_cell_angle_alpha 110.70
_cell_angle_beta 110.70
_cell_angle_gamma 110.70
_space_group_name_H-M_alt 'P 1'
_space_group_IT_number 1
_space_group_name_Hall 'P 1'
loop_
_atom_site_label
_atom_site_fract_x
_atom_site_fract_y
_atom_site_fract_z
_atom_site_occupancy
La1 0.0872 0.1816 0.7344 1
La2 0.1812 0.3497 0.4884 1
La3 0.1816 0.7345 0.0872 1
La4 0.2656 0.9128 0.8184 1
La5 0.3497 0.4884 0.1812 1
La6 0.4884 0.1812 0.3497 1
La7 0.5116 0.8188 0.6503 1
La8 0.6503 0.5116 0.8188 1
La9 0.7344 0.0872 0.1816 1
La10 0.8184 0.2656 0.9128 1
La11 0.8188 0.6503 0.5116 1
La12 0.9128 0.8184 0.2656 1
Zn1 0.0705 0.5792 0.3424 1
Zn2 0.3424 0.0705 0.5792 1
Zn3 0.4208 0.6576 0.9295 1
Zn4 0.5792 0.3424 0.0705 1
Zn5 0.6576 0.9295 0.4208 1
Zn6 0.9295 0.4208 0.6576 1
In1 0.0000 0.0000 0.0000 1
# - magnetization (μB/cell) = 0.0
# - formation energy (kJ/mol of formula units) = -298
# - raw total energy (eV per formula unit) = -72.60
# - SG = R-3, No. 148

=====

2.
# La5ZnIn4 | Alexandria via LeMat-Bulk | PBE | relaxed
data_La5ZnIn4
_chemical_formula_sum 'La5 Zn1 In4'
_cell_length_a 3.8130
_cell_length_b 3.8130
_cell_length_c 20.6569
_cell_angle_alpha 90.00
_cell_angle_beta 90.00
_cell_angle_gamma 90.00
_space_group_name_H-M_alt 'P 1'
_space_group_IT_number 1
_space_group_name_Hall 'P 1'
loop_
_atom_site_label
_atom_site_fract_x
_atom_site_fract_y
_atom_site_fract_z
_atom_site_occupancy
La1 0.0000 0.0000 0.0000 1
La2 0.0000 0.0000 0.2068 1
La3 0.0000 0.0000 0.4127 1
La4 0.0000 0.0000 0.5873 1
La5 0.0000 0.0000 0.7932 1
Zn1 0.5000 0.5000 0.5000 1
In1 0.5000 0.5000 0.1037 1
In2 0.5000 0.5000 0.3111 1
In3 0.5000 0.5000 0.6889 1
In4 0.5000 0.5000 0.8963 1
# - magnetization (μB/cell) = 0.0
# - formation energy (kJ/mol of formula units) = -459
# - raw total energy (eV per formula unit) = -41.62
# - SG = P4/mmm, No. 123

=====

3.
# La2Zn5In3 | Alexandria via LeMat-Bulk | PBE | relaxed
data_La2Zn5In3
_chemical_formula_sum 'La4 Zn10 In6'
_cell_length_a 9.0178
_cell_length_b 9.0178
_cell_length_c 9.0178
_cell_angle_alpha 104.18
_cell_angle_beta 90.35
_cell_angle_gamma 138.50
_space_group_name_H-M_alt 'P 1'
_space_group_IT_number 1
_space_group_name_Hall 'P 1'
loop_
_atom_site_label
_atom_site_fract_x
_atom_site_fract_y
_atom_site_fract_z
_atom_site_occupancy
La1 0.1245 0.2418 0.3663 1
La2 0.3755 0.7418 0.1172 1
La3 0.6245 0.2582 0.8828 1
La4 0.8755 0.7582 0.6337 1
Zn1 0.0142 0.7500 0.2642 1
Zn2 0.1321 0.6359 0.7680 1
Zn3 0.2500 0.2500 0.0000 1
Zn4 0.3679 0.1359 0.5037 1
Zn5 0.4858 0.7500 0.7358 1
Zn6 0.5142 0.2500 0.2642 1
Zn7 0.6321 0.8641 0.4963 1
Zn8 0.7500 0.7500 0.0000 1
Zn9 0.8679 0.3641 0.2320 1
Zn10 0.9858 0.2500 0.7358 1
In1 0.1308 0.8717 0.0025 1
In2 0.2500 0.7500 0.5000 1
In3 0.3692 0.3717 0.7409 1
In4 0.6308 0.6283 0.2591 1
In5 0.7500 0.2500 0.5000 1
In6 0.8692 0.1283 0.9975 1
# - magnetization (μB/cell) = 0.0
# - formation energy (kJ/mol of formula units) = -348
# - raw total energy (eV per formula unit) = -28.05
# - SG = Ibam, No. 72

=====

4.
# La3ZnIn2 | Alexandria via LeMat-Bulk | PBE | relaxed
data_La3ZnIn2
_chemical_formula_sum 'La3 Zn1 In2'
_cell_length_a 3.8282
_cell_length_b 3.8282
_cell_length_c 12.0674
_cell_angle_alpha 90.00
_cell_angle_beta 90.00
_cell_angle_gamma 90.00
_space_group_name_H-M_alt 'P 1'
_space_group_IT_number 1
_space_group_name_Hall 'P 1'
loop_
_atom_site_label
_atom_site_fract_x
_atom_site_fract_y
_atom_site_fract_z
_atom_site_occupancy
La1 0.0000 0.0000 0.0000 1
La2 0.0000 0.0000 0.3511 1
La3 0.0000 0.0000 0.6489 1
Zn1 0.5000 0.5000 0.5000 1
In1 0.5000 0.5000 0.1774 1
In2 0.5000 0.5000 0.8226 1
# - magnetization (μB/cell) = 0.0
# - formation energy (kJ/mol of formula units) = -260
# - raw total energy (eV per formula unit) = -24.23
# - SG = P4/mmm, No. 123

=====

5.
# LaZnIn3 | Alexandria via LeMat-Bulk | PBE | relaxed
data_LaZnIn3
_chemical_formula_sum 'La1 Zn1 In3'
_cell_length_a 6.2467
_cell_length_b 6.2467
_cell_length_c 6.2467
_cell_angle_alpha 90.00
_cell_angle_beta 90.00
_cell_angle_gamma 90.00
_space_group_name_H-M_alt 'P 1'
_space_group_IT_number 1
_space_group_name_Hall 'P 1'
loop_
_atom_site_label
_atom_site_fract_x
_atom_site_fract_y
_atom_site_fract_z
_atom_site_occupancy
La1 0.0000 0.0000 0.0000 1
Zn1 0.5000 0.5000 0.5000 1
In1 0.0000 0.0000 0.5000 1
In2 0.0000 0.5000 0.0000 1
In3 0.5000 0.0000 0.0000 1
# - magnetization (μB/cell) = 0.0
# - formation energy (kJ/mol of formula units) = 391
# - raw total energy (eV per formula unit) = -10.36
# - SG = Pm-3m, No. 221

=====

6.
# LaZnIn3 | Alexandria via LeMat-Bulk | PBE | relaxed
data_LaZnIn3
_chemical_formula_sum 'La1 Zn1 In3'
_cell_length_a 5.1994
_cell_length_b 5.1994
_cell_length_c 5.1994
_cell_angle_alpha 90.00
_cell_angle_beta 90.00
_cell_angle_gamma 90.00
_space_group_name_H-M_alt 'P 1'
_space_group_IT_number 1
_space_group_name_Hall 'P 1'
loop_
_atom_site_label
_atom_site_fract_x
_atom_site_fract_y
_atom_site_fract_z
_atom_site_occupancy
La1 0.0000 0.0000 0.0000 1
Zn1 0.5000 0.5000 0.5000 1
In1 0.0000 0.5000 0.5000 1
In2 0.5000 0.0000 0.5000 1
In3 0.5000 0.5000 0.0000 1
# - magnetization (μB/cell) = 0.0
# - formation energy (kJ/mol of formula units) = -23
# - raw total energy (eV per formula unit) = -14.65
# - SG = Pm-3m, No. 221

=====

7.
# La7Zn2In2 | Alexandria via LeMat-Bulk | PBE | relaxed
data_La7Zn2In2
_chemical_formula_sum 'La7 Zn2 In2'
_cell_length_a 7.1764
_cell_length_b 7.1764
_cell_length_c 7.5262
_cell_angle_alpha 90.00
_cell_angle_beta 90.00
_cell_angle_gamma 109.18
_space_group_name_H-M_alt 'P 1'
_space_group_IT_number 1
_space_group_name_Hall 'P 1'
loop_
_atom_site_label
_atom_site_fract_x
_atom_site_fract_y
_atom_site_fract_z
_atom_site_occupancy
La1 0.0000 0.0000 0.0000 1
La2 0.0000 0.5000 0.2869 1
La3 0.0000 0.5000 0.7131 1
La4 0.5000 0.0000 0.2869 1
La5 0.5000 0.0000 0.7131 1
La6 0.5000 0.5000 0.2444 1
La7 0.5000 0.5000 0.7556 1
Zn1 0.2826 0.7174 0.0000 1
Zn2 0.7174 0.2826 0.0000 1
In1 0.1692 0.1692 0.5000 1
In2 0.8308 0.8308 0.5000 1
# - magnetization (μB/cell) = 0.0
# - formation energy (kJ/mol of formula units) = -119
# - raw total energy (eV per formula unit) = -43.75
# - SG = Cmmm, No. 65

=====

8.
# La4Zn2In | Alexandria via LeMat-Bulk | PBE | relaxed
data_La4Zn2In
_chemical_formula_sum 'La4 Zn2 In1'
_cell_length_a 9.0745
_cell_length_b 9.0745
_cell_length_c 9.0745
_cell_angle_alpha 34.15
_cell_angle_beta 34.15
_cell_angle_gamma 34.15
_space_group_name_H-M_alt 'P 1'
_space_group_IT_number 1
_space_group_name_Hall 'P 1'
loop_
_atom_site_label
_atom_site_fract_x
_atom_site_fract_y
_atom_site_fract_z
_atom_site_occupancy
La1 0.1147 0.1147 0.1147 1
La2 0.3671 0.3671 0.3671 1
La3 0.6328 0.6328 0.6328 1
La4 0.8853 0.8853 0.8853 1
Zn1 0.2439 0.2439 0.2439 1
Zn2 0.7561 0.7561 0.7561 1
In1 0.5000 0.5000 0.5000 1
# - magnetization (μB/cell) = 0.0
# - formation energy (kJ/mol of formula units) = -171
# - raw total energy (eV per formula unit) = -26.76
# - SG = R-3m, No. 166